Record 1
This record from Alexandria describes MgRuIN2 after structural relaxation. The functional is PBE-GGA.

Calculated values
volume	98.1	Å³/cell
crystal system	tetragonal
energy	-4.06	eV per atom
SG	No. 123
E above lowest polymorph	1036	meV per atom
ΔE_f (raw)	1.75	eV per atom

Unit cell a=4.029 b=4.029 c=6.045 alpha=90.00 beta=90.00 gamma=90.00
Last column: magnetic moment on the atom in μB.
Atoms (fractional coordinates):
I  0.000  0.000  0.500  0.12
Ru  0.500  0.500  0.500  2.23
Mg  0.000  0.000  0.000  -0.01
N  0.000  0.500  0.000  0.99
N  0.500  0.000  0.000  0.99

***

Record 2
This record from Alexandria describes MgRuI2N after structural relaxation. The functional is PBE-GGA.

Calculated values
volume	145.0	Å³/cell
crystal system	tetragonal
energy	-3.27	eV per atom
SG	No. 123
E above lowest polymorph	1009	meV per atom
ΔE_f (raw)	1.18	eV per atom

Unit cell a=5.344 b=5.075 c=5.344 alpha=90.00 beta=90.00 gamma=90.00
Last column: magnetic moment on the atom in μB.
Atoms (fractional coordinates):
I  0.000  0.000  0.500  -0.04
I  0.500  0.000  0.000  0.02
Ru  0.000  0.000  0.000  0.59
Mg  0.000  0.500  0.000  -0.01
N  0.500  0.500  0.500  -1.80

***

Record 3
This record from Alexandria describes MgRuIN2 after structural relaxation. The functional is PBE-GGA.

Calculated values
volume	88.8	Å³/cell
crystal system	tetragonal
energy	-5.10	eV per atom
SG	No. 123
E above lowest polymorph	0	meV per atom
ΔE_f (raw)	0.72	eV per atom

Unit cell a=3.913 b=3.913 c=5.802 alpha=90.00 beta=90.00 gamma=90.00
Last column: magnetic moment on the atom in μB.
Atoms (fractional coordinates):
I  0.000  0.000  0.500  0.00
Ru  0.000  0.000  0.000  -0.03
Mg  0.500  0.500  0.500  -0.01
N  0.000  0.500  0.000  0.14
N  0.500  0.000  0.000  0.14

***

Record 4
This record from Alexandria describes MgS2IN after structural relaxation. The functional is PBE-GGA.

Calculated values
volume	99.3	Å³/cell
crystal system	tetragonal
energy	-3.03	eV per atom
SG	No. 123
E above lowest polymorph	33	meV per atom
ΔE_f (raw)	0.92	eV per atom

Unit cell a=5.025 b=5.025 c=3.934 alpha=90.00 beta=90.00 gamma=90.00
Atoms (fractional coordinates):
I  0.500  0.500  0.500
S  0.000  0.500  0.000
S  0.500  0.000  0.000
Mg  0.000  0.000  0.000
N  0.000  0.000  0.500

***

Record 5
This record from Alexandria describes MgS2IN after structural relaxation. The functional is PBE-GGA.

Calculated values
volume	106.8	Å³/cell
crystal system	tetragonal
energy	-3.06	eV per atom
SG	No. 123
E above lowest polymorph	0	meV per atom
ΔE_f (raw)	0.89	eV per atom

Unit cell a=5.212 b=5.212 c=3.930 alpha=90.00 beta=90.00 gamma=90.00
Atoms (fractional coordinates):
I  0.000  0.000  0.000
S  0.000  0.500  0.000
S  0.500  0.000  0.000
Mg  0.500  0.500  0.500
N  0.000  0.000  0.500

***

Record 6
This record from Alexandria describes MgSIN2 after structural relaxation. The functional is PBE-GGA.

Calculated values
volume	112.3	Å³/cell
crystal system	tetragonal
energy	-3.39	eV per atom
SG	No. 123
E above lowest polymorph	98	meV per atom
ΔE_f (raw)	1.40	eV per atom

Unit cell a=4.159 b=4.159 c=6.495 alpha=90.00 beta=90.00 gamma=90.00
Last column: magnetic moment on the atom in μB.
Atoms (fractional coordinates):
I  0.000  0.000  0.500  0.05
S  0.500  0.500  0.500  0.11
Mg  0.000  0.000  0.000  -0.02
N  0.000  0.500  0.000  1.36
N  0.500  0.000  0.000  1.36

***

Copy entry 3 word for word.
This record from Alexandria describes MgRuIN2 after structural relaxation. The functional is PBE-GGA.

Calculated values
volume	88.8	Å³/cell
crystal system	tetragonal
energy	-5.10	eV per atom
SG	No. 123
E above lowest polymorph	0	meV per atom
ΔE_f (raw)	0.72	eV per atom

Unit cell a=3.913 b=3.913 c=5.802 alpha=90.00 beta=90.00 gamma=90.00
Last column: magnetic moment on the atom in μB.
Atoms (fractional coordinates):
I  0.000  0.000  0.500  0.00
Ru  0.000  0.000  0.000  -0.03
Mg  0.500  0.500  0.500  -0.01
N  0.000  0.500  0.000  0.14
N  0.500  0.000  0.000  0.14

***

- Number 4 is which compound?
  MgS2IN

***

- Among the records above, which one has the lowest volume?
  number 3